Record 1
Compound: BaSiP2
Source: Alexandria
Functional: meta-GGA SCAN
Structure: PBEsol geometry

Calculated values
* E_tot: -18.3955 eV/atom
* E_form (uncorrected): -0.805 eV per atom

Unit cell a=6.305 b=6.305 c=6.305 alpha=104.89 beta=111.81 gamma=111.81
Fractional coordinates of all 8 atoms:
P (0.897, 0.522, 0.125)
P (0.103, 0.228, 0.625)
P (0.603, 0.375, 0.478)
P (0.397, 0.875, 0.772)
Si (0.000, 0.500, 0.500)
Si (0.500, 0.250, 0.750)
Ba (0.000, 0.000, 0.000)
Ba (0.500, 0.750, 0.250)

Record 2
Compound: BaSnP3
Source: Alexandria
Functional: meta-GGA SCAN
Structure: PBEsol geometry

Calculated values
* E_tot: -21.1815 eV/atom
* energy relative to the elements: 152 meV/atom

Unit cell a=5.082 b=5.082 c=5.082 alpha=90.00 beta=90.00 gamma=90.00
Fractional coordinates of all 5 atoms:
P (0.000, 0.500, 0.000)
P (0.000, 0.000, 0.500)
P (0.500, 0.000, 0.000)
Ba (0.500, 0.500, 0.500)
Sn (0.000, 0.000, 0.000)

Record 3
Compound: Ba3SrP
Source: Alexandria
Functional: meta-GGA SCAN
Structure: PBEsol geometry

Calculated values
* E_tot: -29.3673 eV/atom
* polymorph energy (0 for the lowest one): 1407 meV/atom
* energy relative to the elements: 898 meV/atom

Unit cell a=6.205 b=6.205 c=6.205 alpha=90.00 beta=90.00 gamma=90.00
Each line ends with the local moment (μB).
Fractional coordinates of all 5 atoms:
Sr (0.000, 0.000, 0.000)  0.32
Ba (0.000, 0.500, 0.000)  0.17
Ba (0.000, 0.000, 0.500)  0.17
Ba (0.500, 0.000, 0.000)  0.17
P (0.500, 0.500, 0.500)  0.02

Record 4
Compound: Ba2SrP
Source: Alexandria
Functional: meta-GGA SCAN
Structure: PBEsol geometry

Calculated values
* E_tot: -28.6379 eV/atom
* energy relative to the elements: -694 meV/atom

Unit cell a=4.491 b=4.493 c=11.767 alpha=100.91 beta=90.00 gamma=119.98
Fractional coordinates of all 4 atoms:
Sr (0.500, 0.000, 0.000)
Ba (0.717, 0.434, 0.652)
Ba (0.283, 0.566, 0.348)
P (0.000, 0.000, 0.500)

Record 5
Compound: Ba2SrP
Source: Alexandria
Functional: meta-GGA SCAN
Structure: PBEsol geometry

Calculated values
* E_tot: -28.5856 eV/atom
* energy relative to the elements: -642 meV/atom

Unit cell a=4.325 b=4.921 c=8.363 alpha=107.11 beta=90.00 gamma=90.00
Each line ends with the local moment (μB).
Fractional coordinates of all 4 atoms:
Ba (0.000, 0.044, 0.088)  0.08
Ba (0.500, 0.392, 0.784)  0.02
P (0.000, 0.850, 0.699)  0.02
Sr (0.500, 0.716, 0.432)  0.07

Record 6
Compound: BaSrP2
Source: Alexandria
Functional: meta-GGA SCAN
Structure: PBEsol geometry

Calculated values
* E_tot: -20.8163 eV/atom
* polymorph energy (0 for the lowest one): 927 meV/atom
* energy relative to the elements: -161 meV/atom

Unit cell a=5.206 b=5.206 c=5.206 alpha=60.00 beta=60.00 gamma=60.00
Fractional coordinates of all 4 atoms:
Ba (0.500, 0.500, 0.500)
P (0.000, 0.000, 0.000)
P (0.750, 0.750, 0.750)
Sr (0.250, 0.250, 0.250)

Record 7
Compound: Ba2SrP
Source: Alexandria
Functional: meta-GGA SCAN
Structure: PBEsol geometry

Calculated values
* E_tot: -28.5689 eV/atom
* energy relative to the elements: -625 meV/atom

Unit cell a=3.982 b=3.982 c=10.771 alpha=90.00 beta=90.00 gamma=90.00
Each line ends with the local moment (μB).
Fractional coordinates of all 4 atoms:
Ba (0.000, 0.000, 0.846)  0.05
Ba (0.000, 0.000, 0.154)  0.05
P (0.500, 0.500, 0.000)  0.02
Sr (0.500, 0.500, 0.500)  0.05

Record 8
Compound: Ba2SrP
Source: Alexandria
Functional: meta-GGA SCAN
Structure: PBEsol geometry

Calculated values
* E_tot: -28.6603 eV/atom
* energy relative to the elements: -717 meV/atom

Unit cell a=4.471 b=4.471 c=11.544 alpha=78.83 beta=78.83 gamma=60.00
Each line ends with the local moment (μB).
Fractional coordinates of all 4 atoms:
Sr (0.215, 0.215, 0.354)  -0.03
Ba (0.997, 0.997, 0.008)  -0.08
Ba (0.785, 0.785, 0.646)  -0.05
P (0.503, 0.503, 0.491)  -0.02